Entry 1:
This record from Alexandria describes RbHg6Au4 after structural relaxation. The functional is PBE.

```
RbHg6Au4
1.0
4.707 0.000 0.000
0.000 8.243 0.000
0.000 -4.121 7.139
Rb Hg Au
1 6 4
Cartesian
0.000 0.000 0.000 Rb
0.000 4.121 0.479 Hg
2.354 1.743 5.765 Hg
0.000 2.476 3.330 Hg
0.000 5.767 3.330 Hg
2.354 -1.743 5.765 Hg
2.354 0.000 2.746 Hg
2.354 4.121 4.104 Au
2.354 2.628 1.517 Au
2.354 5.615 1.517 Au
0.000 0.000 4.759 Au
```

Results
* magnetization: 0.00 μB per atom
* DOS at the Fermi energy: 3.2 states/eV/cell
* formation energy from the elements: -71 meV/atom
* E_tot: -1.52 eV per atom

---

Entry 2:
This record from Alexandria describes Rb3HgAu after structural relaxation. The functional is PBE.

```
Rb3HgAu
1.0
6.662 0.000 0.000
0.000 6.662 0.000
0.000 0.000 6.662
Au Hg Rb
1 1 3
Cartesian
0.000 0.000 0.000 Au
3.331 3.331 3.331 Hg
0.000 3.331 0.000 Rb
0.000 0.000 3.331 Rb
3.331 0.000 0.000 Rb
```

Results
* magnetization: 0.13 μB per atom
* DOS at the Fermi energy: 6.4 states/eV/cell
* formation energy from the elements: -104 meV/atom
* E_tot: -1.40 eV per atom
* energy above the lowest structure with this stoichiometry: 123 meV per atom

---

Entry 3:
This record from Alexandria describes Rb7HgAu2 after structural relaxation. The functional is PBE.

```
Rb7HgAu2
1.0
6.078 0.000 0.000
3.039 5.263 0.000
3.039 1.754 17.380
Rb Hg Au
7 1 2
Cartesian
9.117 5.263 14.787 Rb
6.078 3.509 4.780 Rb
0.000 0.000 0.000 Rb
3.039 1.754 2.593 Rb
3.039 1.754 10.116 Rb
9.117 5.263 7.264 Rb
6.078 3.509 12.600 Rb
6.078 3.509 8.690 Hg
3.039 1.754 13.775 Au
9.117 5.263 3.605 Au
```

Results
* magnetization: 0.00 μB per atom
* DOS at the Fermi energy: 8.7 states/eV/cell
* formation energy from the elements: -142 meV/atom
* E_tot: -1.51 eV per atom

---

Entry 4:
This record from Alexandria describes Rb2Hg5Au after structural relaxation. The functional is PBE.

```
Rb2Hg5Au
1.0
6.907 0.000 0.000
0.001 6.908 0.000
-3.453 -3.453 6.244
Rb Hg Au
2 5 1
Cartesian
0.001 3.454 3.595 Rb
3.454 0.001 3.595 Rb
5.252 1.656 0.437 Hg
1.656 1.656 0.436 Hg
5.252 5.252 0.438 Hg
1.656 5.252 0.437 Hg
3.454 3.454 2.086 Hg
3.455 3.455 4.925 Au
```

Results
* magnetization: 0.00 μB per atom
* DOS at the Fermi energy: 3.8 states/eV/cell
* formation energy from the elements: -197 meV/atom
* E_tot: -1.04 eV per atom
* energy above the lowest structure with this stoichiometry: 29 meV per atom

---

Which value of formation energy from the elements does entry 2 give?
-104 meV/atom

---

Copy entry 3 word for word.
This record from Alexandria describes Rb7HgAu2 after structural relaxation. The functional is PBE.

```
Rb7HgAu2
1.0
6.078 0.000 0.000
3.039 5.263 0.000
3.039 1.754 17.380
Rb Hg Au
7 1 2
Cartesian
9.117 5.263 14.787 Rb
6.078 3.509 4.780 Rb
0.000 0.000 0.000 Rb
3.039 1.754 2.593 Rb
3.039 1.754 10.116 Rb
9.117 5.263 7.264 Rb
6.078 3.509 12.600 Rb
6.078 3.509 8.690 Hg
3.039 1.754 13.775 Au
9.117 5.263 3.605 Au
```

Results
* magnetization: 0.00 μB per atom
* DOS at the Fermi energy: 8.7 states/eV/cell
* formation energy from the elements: -142 meV/atom
* E_tot: -1.51 eV per atom

---

Look up the E_tot of the first one.
-1.52 eV per atom